No. 1
Y2Ge3PdPt4: optimized geometry, GGA-PBE.

abc: 4.0594 4.0594 11.3862
angles: 90.00 90.00 90.00
Closest atoms and distances in Å follow each position.
Space group P-4m2 (No. 115)
One atom of each set of equivalent atoms:
1 Y 0.0000 0.5000 0.2430 (multiplicity 2)  4 Pt 3.03, 4 Ge 3.20
2 Ge 0.0000 0.0000 0.0000 (multiplicity 1)  4 Pt 2.70, 4 Pd 2.87
3 Ge 0.0000 0.5000 0.6333 (multiplicity 2)  5 Pt 2.39-2.53
4 Pd 0.5000 0.5000 0.0000 (multiplicity 1)  4 Pt 2.70, 4 Ge 2.87
5 Pt 0.0000 0.0000 0.5000 (multiplicity 1)  4 Ge 2.53
6 Pt 0.0000 0.5000 0.8431 (multiplicity 2)  1 Ge 2.39
7 Pt 0.5000 0.5000 0.5000 (multiplicity 1)  4 Ge 2.53

Output
**DFT total energy**: -6.456 eV per atom
**Formation energy**: -842 meV/atom

No. 2
YGe2PdPt2: optimized geometry, GGA-PBE.

abc: 4.3337 4.3337 6.6244
angles: 90.00 90.00 120.00
Closest atoms and distances in Å follow each position.
Space group P-3m1 (No. 164)
One atom of each set of equivalent atoms:
1 Y 0.0000 0.0000 0.0000 (multiplicity 1)  6 Pt 3.14, 6 Ge 3.19, 2 Pd 3.31
2 Ge 0.3333 0.6667 0.2999 (multiplicity 2)  4 Pt 2.50-2.74
3 Pd 0.0000 0.0000 0.5000 (multiplicity 1)  6 Ge 2.83, 6 Pt 2.87
4 Pt 0.3333 0.6667 0.7130 (multiplicity 2)  4 Ge 2.50-2.74

Output
**DFT total energy**: -6.325 eV per atom
**Formation energy**: -829 meV/atom

No. 3
ZrGePdPt: optimized geometry, GGA-PBE.

abc: 6.5115 6.5115 6.5115
angles: 90.00 90.00 90.00
Closest atoms and distances in Å follow each position.
Space group F-43m (No. 216)
One atom of each set of equivalent atoms:
1 Zr 0.0000 0.0000 0.0000 (multiplicity 4)  4 Pd 2.82, 4 Pt 2.82
2 Ge 0.0000 0.0000 0.5000 (multiplicity 4)  4 Pd 2.82, 4 Pt 2.82
3 Pd 0.2500 0.2500 0.2500 (multiplicity 4)  4 Ge 2.82, 4 Zr 2.82
4 Pt 0.2500 0.2500 0.7500 (multiplicity 4)  4 Ge 2.82, 4 Zr 2.82

Output
**DFT total energy**: -6.770 eV per atom
**Formation energy**: -670 meV/atom